# PBE MgHF, relaxed
# Distance to the lowest polymorph of the same formula, meV/atom: 0
# Calculated volume, Å³ per atom: 10.89
# DFT total energy, eV/atom: -4.13
data_MgHF
_chemical_formula_sum 'Mg2 H2 F2'
_symmetry_space_group_name_H-M 'P m n 21'
_symmetry_Int_Tables_number 31
_cell_length_a 3.0578
_cell_length_b 4.6187
_cell_length_c 4.6273
_cell_angle_alpha 90.00
_cell_angle_beta 90.00
_cell_angle_gamma 90.00
loop_
_symmetry_equiv_pos_as_xyz
'x,y,z'
'-x+1/2,-y,z+1/2'
'-x,y,z'
'x+1/2,-y,z+1/2'
loop_
_atom_site_label
_atom_site_fract_x
_atom_site_fract_y
_atom_site_fract_z
Mg1 0.0000 0.2409 0.0000
H1 0.0000 0.9468 0.3063
F1 0.0000 0.5556 0.6997